Run 1
# YHfNF2 | Alexandria via LeMat-Bulk | PBE | relaxed
# N(E_F) = 3.0 states/eV/f.u.
data_YHfNF2
_cell_length_a 4.161
_cell_length_b 4.161
_cell_length_c 4.980
_cell_angle_alpha 90.00
_cell_angle_beta 90.00
_cell_angle_gamma 90.00
_symmetry_space_group_name_H-M 'P 4/m m m'
_symmetry_Int_Tables_number 123
_symmetry_space_group_name_Hall '-P 4 2'
loop_
_atom_site_label
_atom_site_fract_x
_atom_site_fract_y
_atom_site_fract_z
Y1 0.000 0.000 0.000
Hf1 0.500 0.500 0.500
N1 0.000 0.000 0.500
F1 0.000 0.500 0.000

---

Run 2
# YHfNF2 | Alexandria via LeMat-Bulk | PBE | relaxed
# N(E_F) = 4.1 states/eV/f.u.
data_YHfNF2
_cell_length_a 4.217
_cell_length_b 4.217
_cell_length_c 4.278
_cell_angle_alpha 90.00
_cell_angle_beta 90.00
_cell_angle_gamma 90.00
_symmetry_space_group_name_H-M 'P 4/m m m'
_symmetry_Int_Tables_number 123
_symmetry_space_group_name_Hall '-P 4 2'
loop_
_atom_site_label
_atom_site_fract_x
_atom_site_fract_y
_atom_site_fract_z
Y1 0.000 0.000 0.000
Hf1 0.500 0.500 0.500
N1 0.500 0.500 0.000
F1 0.000 0.500 0.500

---

Here are the energies relative to the best structure, in meV per atom: run 1 437; run 2 0.

---

Run 1
# HfZnN2F | Alexandria via LeMat-Bulk | PBE | relaxed
# N(E_F) = 2.5 states/eV/f.u.
data_HfZnN2F
_cell_length_a 3.898
_cell_length_b 3.898
_cell_length_c 3.679
_cell_angle_alpha 90.00
_cell_angle_beta 90.00
_cell_angle_gamma 90.00
_symmetry_space_group_name_H-M 'P 4/m m m'
_symmetry_Int_Tables_number 123
_symmetry_space_group_name_Hall '-P 4 2'
loop_
_atom_site_label
_atom_site_fract_x
_atom_site_fract_y
_atom_site_fract_z
Hf1 0.000 0.000 0.000
Zn1 0.500 0.500 0.500
N1 0.000 0.500 0.500
F1 0.500 0.500 0.000

---

Run 2
# HfZnN2F | Alexandria via LeMat-Bulk | PBE | relaxed
# N(E_F) = 2.5 states/eV/f.u.
data_HfZnN2F
_cell_length_a 4.209
_cell_length_b 4.209
_cell_length_c 4.040
_cell_angle_alpha 90.00
_cell_angle_beta 90.00
_cell_angle_gamma 90.00
_symmetry_space_group_name_H-M 'P 4/m m m'
_symmetry_Int_Tables_number 123
_symmetry_space_group_name_Hall '-P 4 2'
loop_
_atom_site_label
_atom_site_fract_x
_atom_site_fract_y
_atom_site_fract_z
Hf1 0.000 0.000 0.000
Zn1 0.500 0.500 0.500
N1 0.000 0.500 0.000
F1 0.000 0.000 0.500

---

Here are the energies relative to the best structure, in meV per atom: run 1 445; run 2 0.

---

Run 1
# HfZrN2F | Alexandria via LeMat-Bulk | PBE | relaxed
# N(E_F) = 2.7 states/eV/f.u.
data_HfZrN2F
_cell_length_a 4.276
_cell_length_b 4.276
_cell_length_c 3.943
_cell_angle_alpha 90.00
_cell_angle_beta 90.00
_cell_angle_gamma 90.00
_symmetry_space_group_name_H-M 'P 4/m m m'
_symmetry_Int_Tables_number 123
_symmetry_space_group_name_Hall '-P 4 2'
loop_
_atom_site_label
_atom_site_fract_x
_atom_site_fract_y
_atom_site_fract_z
Hf1 0.000 0.000 0.000
Zr1 0.500 0.500 0.500
N1 0.000 0.500 0.500
F1 0.500 0.500 0.000

---

Run 2
# HfZrN2F | Alexandria via LeMat-Bulk | PBE | relaxed
# N(E_F) = 2.1 states/eV/f.u.
data_HfZrN2F
_cell_length_a 4.236
_cell_length_b 4.236
_cell_length_c 3.889
_cell_angle_alpha 90.00
_cell_angle_beta 90.00
_cell_angle_gamma 90.00
_symmetry_space_group_name_H-M 'P 4/m m m'
_symmetry_Int_Tables_number 123
_symmetry_space_group_name_Hall '-P 4 2'
loop_
_atom_site_label
_atom_site_fract_x
_atom_site_fract_y
_atom_site_fract_z
Hf1 0.000 0.000 0.000
Zr1 0.500 0.500 0.500
N1 0.000 0.500 0.000
F1 0.000 0.000 0.500

---

Here are the energies relative to the best structure, in meV per atom: run 1 349; run 2 0.